{
  "formula": "HgHRhI2",
  "functional": "PBE",
  "state": "relaxed",
  "lattice_angstrom": [[5.895, 0.000, 0.000], [0.000, 5.895, 0.000], [0.000, 0.000, 3.625]],
  "species": ["Hg", "H", "Rh", "I", "I"],
  "fractional_positions": [[0.000, 0.000, 0.000], [0.000, 0.000, 0.500], [0.500, 0.500, 0.500], [0.000, 0.500, 0.000], [0.500, 0.000, 0.000]],
  "dos_at_fermi_per_ev_fu": 4.663,
  "e_tot_ev_per_fu": -10.85,
  "space_group": "P4/mmm",
  "magmom_total_mub_per_cell": 1.96
}

=====

{
  "formula": "CaSb4Pd6",
  "functional": "PBE",
  "state": "relaxed",
  "lattice_angstrom": [[-3.456, 3.456, 4.937], [3.456, -3.456, 4.937], [3.456, 3.456, -4.937]],
  "species": ["Ca", "Sb", "Sb", "Sb", "Sb", "Pd", "Pd", "Pd", "Pd", "Pd", "Pd"],
  "fractional_positions": [[0.000, 0.000, 0.000], [0.126, 0.126, 0.564], [0.438, 0.874, 0.000], [0.562, 0.562, 0.436], [0.874, 0.438, 0.000], [0.000, 0.500, 0.500], [0.232, 0.546, 0.000], [0.454, 0.454, 0.686], [0.500, 0.000, 0.500], [0.546, 0.232, 0.000], [0.768, 0.768, 0.314]],
  "dos_at_fermi_per_ev_fu": 5.095,
  "raw_formation_energy_ev_per_atom": -0.495,
  "e_tot_ev_per_fu": -55.09,
  "space_group": "I-42m",
  "magmom_total_mub_per_cell": 0.00
}

=====

{
  "formula": "CrAg2Mo",
  "functional": "PBE",
  "state": "relaxed",
  "lattice_angstrom": [[2.708, 0.000, 0.000], [0.000, 4.737, 0.000], [-1.252, 0.000, 5.059]],
  "species": ["Cr", "Ag", "Ag", "Mo"],
  "fractional_positions": [[0.000, 0.000, 0.000], [0.182, 0.500, 0.757], [0.818, 0.500, 0.243], [0.500, 0.000, 0.500]],
  "dos_at_fermi_per_ev_fu": 4.136,
  "polymorph_energy_ev_per_atom": 0.262,
  "e_tot_ev_per_fu": -23.75,
  "space_group": "P2/m",
  "magmom_total_mub_per_cell": 2.03
}

=====

{
  "formula": "KZr2Re",
  "functional": "PBE",
  "state": "relaxed",
  "lattice_angstrom": [[0.000, 3.492, 3.492], [3.492, 0.000, 3.492], [3.492, 3.492, 0.000]],
  "species": ["K", "Zr", "Zr", "Re"],
  "fractional_positions": [[0.000, 0.000, 0.000], [0.250, 0.250, 0.250], [0.750, 0.750, 0.750], [0.500, 0.500, 0.500]],
  "dos_at_fermi_per_ev_fu": 5.439,
  "polymorph_energy_ev_per_atom": 0.610,
  "e_tot_ev_per_fu": -27.42,
  "space_group": "Fm-3m",
  "magmom_total_mub_per_cell": 0.00
}